Density functional theory data (PBE-GGA) for crystalline CuSe3Cl at its relaxed geometry.

Lattice parameters (Å, degrees): 4.9732 4.9732 4.9732 90.00 90.00 90.00
Atoms (fractional coordinates):
Cu  0.0000  0.0000  0.0000
Se  0.0000  0.5000  0.5000
Se  0.5000  0.0000  0.5000
Se  0.5000  0.5000  0.0000
Cl  0.5000  0.5000  0.5000

Uncorrected formation energy in eV/atom: 1.0988
Energy in eV per atom: -2.180
Symmetry: Pm-3m
Total moment in Bohr magnetons per cell: 0.0